*w*
This record from Alexandria describes a relaxed ZrPdCl3 crystal. The functional is PBE-GGA.

Volume ... 126 Å³ per cell

abc: 5.012 5.012 5.012
angles: 90.00 90.00 90.00
Positions (direct):
Zr: 0.000 0.000 0.000
Pd: 0.500 0.500 0.500
Cl: 0.000 0.500 0.000
Cl: 0.000 0.000 0.500
Cl: 0.500 0.000 0.000

*x*
This record from Alexandria describes a relaxed ZrPdCl3 crystal. The functional is PBE-GGA.

Volume ... 118 Å³ per cell

abc: 4.906 4.906 4.906
angles: 90.00 90.00 90.00
Positions (direct):
Zr: 0.500 0.500 0.500
Pd: 0.000 0.000 0.000
Cl: 0.000 0.500 0.000
Cl: 0.000 0.000 0.500
Cl: 0.500 0.000 0.000

Stability verdict: *w*, ahead by 0.616 eV/atom

*w*
This record from Alexandria describes a relaxed ZrPd2Cl crystal. The functional is PBE-GGA.

Volume ... 73 Å³ per cell

abc: 4.694 4.694 4.694
angles: 60.00 60.00 60.00
Positions (direct):
Zr: 0.500 0.500 0.500
Pd: 0.250 0.250 0.250
Pd: 0.750 0.750 0.750
Cl: 0.000 0.000 0.000

*x*
This record from Alexandria describes a relaxed ZrPd2Cl crystal. The functional is PBE-GGA.

Volume ... 151 Å³ per cell

abc: 7.499 7.499 5.941
angles: 50.87 50.87 90.00
Positions (direct):
Zr: 0.000 0.000 0.000
Zr: 0.750 0.250 0.500
Pd: 0.624 0.125 0.250
Pd: 0.126 0.625 0.250
Pd: 0.375 0.376 0.750
Pd: 0.875 0.874 0.750
Cl: 0.500 0.500 0.000
Cl: 0.250 0.750 0.500

Stability verdict: *x*, ahead by 0.240 eV/atom